#a
# PBE Li4CdAu, optimized geometry
data_Li4CdAu
_chemical_formula_sum 'Li4 Cd1 Au1'
_cell_length_a 2.9879
_cell_length_b 3.8745
_cell_length_c 8.8063
_cell_angle_alpha 90.00
_cell_angle_beta 90.00
_cell_angle_gamma 90.00
_symmetry_space_group_name_H-M 'P m m m'
_symmetry_Int_Tables_number 47
loop_
_symmetry_equiv_pos_as_xyz
'x,y,z'
'-x,-y,-z'
'-x,-y,z'
'x,y,-z'
'x,-y,-z'
'-x,y,z'
'-x,y,-z'
'x,-y,z'
loop_
_atom_site_label
_atom_site_fract_x
_atom_site_fract_y
_atom_site_fract_z
_atom_site_occupancy
Li1 0.0000 0.0000 0.1483 1
Li2 0.5000 0.5000 0.3228 1
Cd1 0.0000 0.0000 0.5000 1
Au1 0.5000 0.5000 0.0000 1
# M_tot in Bohr magnetons per cell: 0.0


#b
# PBE Li4CdAu, optimized geometry
data_Li4CdAu
_chemical_formula_sum 'Li16 Cd4 Au4'
_cell_length_a 7.2216
_cell_length_b 7.2216
_cell_length_c 7.2216
_cell_angle_alpha 90.00
_cell_angle_beta 90.00
_cell_angle_gamma 90.00
_symmetry_space_group_name_H-M 'F -4 3 m'
_symmetry_Int_Tables_number 216
_symmetry_space_group_name_Hall 'F -4 2 3'
loop_
_atom_site_label
_atom_site_fract_x
_atom_site_fract_y
_atom_site_fract_z
_atom_site_occupancy
Li1 0.1242 0.1242 0.1242 1
Cd1 0.0000 0.0000 0.5000 1
Au1 0.2500 0.2500 0.7500 1
# M_tot in Bohr magnetons per cell: 0.0


#c
# PBE Li4CdAu, optimized geometry
data_Li4CdAu
_chemical_formula_sum 'Li4 Cd1 Au1'
_cell_length_a 2.9149
_cell_length_b 4.4975
_cell_length_c 7.7401
_cell_angle_alpha 90.00
_cell_angle_beta 90.07
_cell_angle_gamma 90.00
_symmetry_space_group_name_H-M 'P 1 m 1'
_symmetry_Int_Tables_number 6
loop_
_symmetry_equiv_pos_as_xyz
'x,y,z'
'x,-y,z'
loop_
_atom_site_label
_atom_site_fract_x
_atom_site_fract_y
_atom_site_fract_z
_atom_site_occupancy
Li1 0.0000 0.0000 0.0000 1
Li2 0.0004 0.5000 0.4444 1
Li3 0.5017 0.0000 0.3051 1
Li4 0.9985 0.5000 0.8109 1
Cd1 0.4973 0.0000 0.6588 1
Au1 0.4997 0.5000 0.1222 1
# M_tot in Bohr magnetons per cell: 0.0


Decreasing stability: #a, #c, #b


#a
# PBE Li4CdAu3, optimized geometry
data_Li4CdAu3
_chemical_formula_sum 'Li8 Cd2 Au6'
_cell_length_a 9.0498
_cell_length_b 6.1804
_cell_length_c 4.5290
_cell_angle_alpha 90.00
_cell_angle_beta 90.00
_cell_angle_gamma 90.00
_symmetry_space_group_name_H-M 'P m m a'
_symmetry_Int_Tables_number 51
loop_
_symmetry_equiv_pos_as_xyz
'x,y,z'
'-x,-y,-z'
'-x+1/2,-y,z'
'x+1/2,y,-z'
'x+1/2,-y,-z'
'-x+1/2,y,z'
'-x,y,-z'
'x,-y,z'
loop_
_atom_site_label
_atom_site_fract_x
_atom_site_fract_y
_atom_site_fract_z
_atom_site_occupancy
Li1 0.0000 0.2365 0.0000 1
Li2 0.2500 0.2366 0.4879 1
Cd1 0.0000 0.5000 0.5000 1
Au1 0.0000 0.0000 0.5000 1
Au2 0.2500 0.0000 0.9871 1
Au3 0.2500 0.5000 0.9895 1
# M_tot in Bohr magnetons per cell: 0.0


#b
# PBE Li4CdAu3, optimized geometry
data_Li4CdAu3
_chemical_formula_sum 'Li8 Cd2 Au6'
_cell_length_a 16.4815
_cell_length_b 3.9581
_cell_length_c 4.2420
_cell_angle_alpha 90.00
_cell_angle_beta 104.80
_cell_angle_gamma 90.00
_symmetry_space_group_name_H-M 'C 1 2/m 1'
_symmetry_Int_Tables_number 12
loop_
_symmetry_equiv_pos_as_xyz
'x,y,z'
'-x,-y,-z'
'-x,y,-z'
'x,-y,z'
'x+1/2,y+1/2,z'
'-x+1/2,-y+1/2,-z'
'-x+1/2,y+1/2,-z'
'x+1/2,-y+1/2,z'
loop_
_atom_site_label
_atom_site_fract_x
_atom_site_fract_y
_atom_site_fract_z
_atom_site_occupancy
Li1 0.1246 0.0000 0.1245 1
Li2 0.2479 0.5000 0.2475 1
Cd1 0.0000 0.0000 0.5000 1
Au1 0.0000 0.5000 0.0000 1
Au2 0.1393 0.5000 0.6390 1
# M_tot in Bohr magnetons per cell: 0.0


Decreasing stability: #a, #b


#a
# PBE Li2Cd3Au3, optimized geometry
data_Li2Cd3Au3
_chemical_formula_sum 'Li4 Cd6 Au6'
_cell_length_a 15.1121
_cell_length_b 4.3681
_cell_length_c 4.4931
_cell_angle_alpha 90.00
_cell_angle_beta 107.28
_cell_angle_gamma 90.00
_symmetry_space_group_name_H-M 'C 1 2/m 1'
_symmetry_Int_Tables_number 12
loop_
_symmetry_equiv_pos_as_xyz
'x,y,z'
'-x,-y,-z'
'-x,y,-z'
'x,-y,z'
'x+1/2,y+1/2,z'
'-x+1/2,-y+1/2,-z'
'-x+1/2,y+1/2,-z'
'x+1/2,-y+1/2,z'
loop_
_atom_site_label
_atom_site_fract_x
_atom_site_fract_y
_atom_site_fract_z
_atom_site_occupancy
Li1 0.2488 0.0000 0.2480 1
Cd1 0.0000 0.5000 0.5000 1
Cd2 0.1387 0.5000 0.1389 1
Au1 0.0000 0.0000 0.0000 1
Au2 0.1422 0.0000 0.6410 1
# M_tot in Bohr magnetons per cell: 0.0


#b
# PBE Li2Cd3Au3, optimized geometry
data_Li2Cd3Au3
_chemical_formula_sum 'Li8 Cd12 Au12'
_cell_length_a 4.3800
_cell_length_b 9.9649
_cell_length_c 13.9379
_cell_angle_alpha 90.00
_cell_angle_beta 90.00
_cell_angle_gamma 90.00
_symmetry_space_group_name_H-M 'C m c m'
_symmetry_Int_Tables_number 63
_symmetry_space_group_name_Hall '-C 2c 2'
loop_
_atom_site_label
_atom_site_fract_x
_atom_site_fract_y
_atom_site_fract_z
_atom_site_occupancy
Li1 0.0000 0.2403 0.1357 1
Cd1 0.0000 0.3787 0.5594 1
Cd2 0.0000 0.4800 0.2500 1
Au1 0.0000 0.0871 0.5800 1
Au2 0.0000 0.2338 0.7500 1
# M_tot in Bohr magnetons per cell: 0.0


Decreasing stability: #a, #b


#a
# PBE Li2Cd2Au3, optimized geometry
data_Li2Cd2Au3
_chemical_formula_sum 'Li4 Cd4 Au6'
_cell_length_a 9.3314
_cell_length_b 4.1024
_cell_length_c 6.6005
_cell_angle_alpha 90.00
_cell_angle_beta 98.09
_cell_angle_gamma 90.00
_symmetry_space_group_name_H-M 'C 1 2/m 1'
_symmetry_Int_Tables_number 12
loop_
_symmetry_equiv_pos_as_xyz
'x,y,z'
'-x,-y,-z'
'-x,y,-z'
'x,-y,z'
'x+1/2,y+1/2,z'
'-x+1/2,-y+1/2,-z'
'-x+1/2,y+1/2,-z'
'x+1/2,-y+1/2,z'
loop_
_atom_site_label
_atom_site_fract_x
_atom_site_fract_y
_atom_site_fract_z
_atom_site_occupancy
Li1 0.2077 0.0000 0.1623 1
Cd1 0.0784 0.0000 0.7260 1
Au1 0.0000 0.5000 0.0000 1
Au2 0.1445 0.5000 0.4197 1
# M_tot in Bohr magnetons per cell: 0.0


#b
# PBE Li2Cd2Au3, optimized geometry
data_Li2Cd2Au3
_chemical_formula_sum 'Li6 Cd6 Au9'
_cell_length_a 4.7110
_cell_length_b 4.7110
_cell_length_c 19.8243
_cell_angle_alpha 90.00
_cell_angle_beta 90.00
_cell_angle_gamma 120.00
_symmetry_space_group_name_H-M 'R -3 m'
_symmetry_Int_Tables_number 166
_symmetry_space_group_name_Hall '-R 3 2"'
loop_
_atom_site_label
_atom_site_fract_x
_atom_site_fract_y
_atom_site_fract_z
_atom_site_occupancy
Li1 0.0000 0.0000 0.1366 1
Cd1 0.0000 0.0000 0.4242 1
Au1 0.0000 0.0000 0.0000 1
Au2 0.0000 0.0000 0.2713 1
# M_tot in Bohr magnetons per cell: 0.0


Decreasing stability: #a, #b


#a
# PBE LiCd8Au2, optimized geometry
data_LiCd8Au2
_chemical_formula_sum 'Li2 Cd16 Au4'
_cell_length_a 14.4833
_cell_length_b 6.0221
_cell_length_c 5.5370
_cell_angle_alpha 90.00
_cell_angle_beta 96.62
_cell_angle_gamma 90.00
_symmetry_space_group_name_H-M 'C 1 2/m 1'
_symmetry_Int_Tables_number 12
loop_
_symmetry_equiv_pos_as_xyz
'x,y,z'
'-x,-y,-z'
'-x,y,-z'
'x,-y,z'
'x+1/2,y+1/2,z'
'-x+1/2,-y+1/2,-z'
'-x+1/2,y+1/2,-z'
'x+1/2,-y+1/2,z'
loop_
_atom_site_label
_atom_site_fract_x
_atom_site_fract_y
_atom_site_fract_z
_atom_site_occupancy
Li1 0.0000 0.0000 0.0000 1
Cd1 0.0818 0.5000 0.8897 1
Cd2 0.0914 0.2471 0.3976 1
Cd3 0.2176 0.0000 0.8254 1
Au1 0.2455 0.5000 0.6724 1
# M_tot in Bohr magnetons per cell: 0.0


#b
# PBE LiCd8Au2, optimized geometry
data_LiCd8Au2
_chemical_formula_sum 'Li2 Cd16 Au4'
_cell_length_a 7.5217
_cell_length_b 13.0014
_cell_length_c 5.2524
_cell_angle_alpha 90.00
_cell_angle_beta 109.27
_cell_angle_gamma 90.00
_symmetry_space_group_name_H-M 'C 1 2/m 1'
_symmetry_Int_Tables_number 12
loop_
_symmetry_equiv_pos_as_xyz
'x,y,z'
'-x,-y,-z'
'-x,y,-z'
'x,-y,z'
'x+1/2,y+1/2,z'
'-x+1/2,-y+1/2,-z'
'-x+1/2,y+1/2,-z'
'x+1/2,-y+1/2,z'
loop_
_atom_site_label
_atom_site_fract_x
_atom_site_fract_y
_atom_site_fract_z
_atom_site_occupancy
Li1 0.0000 0.0000 0.0000 1
Cd1 0.0000 0.2260 0.0000 1
Cd2 0.1099 0.5000 0.7947 1
Cd3 0.2024 0.1133 0.6669 1
Au1 0.0000 0.3074 0.5000 1
# M_tot in Bohr magnetons per cell: 0.0


Decreasing stability: #a, #b


#a
# PBE LiCd2Au4, optimized geometry
data_LiCd2Au4
_chemical_formula_sum 'Li1 Cd2 Au4'
_cell_length_a 4.1034
_cell_length_b 5.2051
_cell_length_c 6.5304
_cell_angle_alpha 96.68
_cell_angle_beta 90.07
_cell_angle_gamma 112.86
_symmetry_space_group_name_H-M 'P -1'
_symmetry_Int_Tables_number 2
loop_
_symmetry_equiv_pos_as_xyz
'x,y,z'
'-x,-y,-z'
loop_
_atom_site_label
_atom_site_fract_x
_atom_site_fract_y
_atom_site_fract_z
_atom_site_occupancy
Li1 0.0000 0.0000 0.0000 1
Cd1 0.1394 0.2803 0.4181 1
Au1 0.2867 0.5733 0.8611 1
Au2 0.4301 0.8608 0.2762 1
# M_tot in Bohr magnetons per cell: 0.0


#b
# PBE LiCd2Au4, optimized geometry
data_LiCd2Au4
_chemical_formula_sum 'Li2 Cd4 Au8'
_cell_length_a 5.6620
_cell_length_b 9.9935
_cell_length_c 5.6815
_cell_angle_alpha 90.00
_cell_angle_beta 118.87
_cell_angle_gamma 90.00
_symmetry_space_group_name_H-M 'C 1 2/m 1'
_symmetry_Int_Tables_number 12
loop_
_symmetry_equiv_pos_as_xyz
'x,y,z'
'-x,-y,-z'
'-x,y,-z'
'x,-y,z'
'x+1/2,y+1/2,z'
'-x+1/2,-y+1/2,-z'
'-x+1/2,y+1/2,-z'
'x+1/2,-y+1/2,z'
loop_
_atom_site_label
_atom_site_fract_x
_atom_site_fract_y
_atom_site_fract_z
_atom_site_occupancy
Li1 0.0000 0.0000 0.0000 1
Cd1 0.0000 0.2492 0.5000 1
Au1 0.0000 0.2975 0.0000 1
Au2 0.2047 0.5000 0.4079 1
# M_tot in Bohr magnetons per cell: 0.0


Decreasing stability: #a, #b


#a
# PBE LiCd2Au3, optimized geometry
data_LiCd2Au3
_chemical_formula_sum 'Li4 Cd8 Au12'
_cell_length_a 10.2203
_cell_length_b 8.3716
_cell_length_c 5.5344
_cell_angle_alpha 90.00
_cell_angle_beta 93.62
_cell_angle_gamma 90.00
_symmetry_space_group_name_H-M 'C 1 2/c 1'
_symmetry_Int_Tables_number 15
loop_
_symmetry_equiv_pos_as_xyz
'x,y,z'
'-x,-y,-z'
'-x,y,-z+1/2'
'x,-y,z+1/2'
'x+1/2,y+1/2,z'
'-x+1/2,-y+1/2,-z'
'-x+1/2,y+1/2,-z+1/2'
'x+1/2,-y+1/2,z+1/2'
loop_
_atom_site_label
_atom_site_fract_x
_atom_site_fract_y
_atom_site_fract_z
_atom_site_occupancy
Li1 0.0000 0.0839 0.2500 1
Cd1 0.1282 0.2612 0.6519 1
Au1 0.0000 0.4271 0.2500 1
Au2 0.2277 0.0393 0.9912 1
# M_tot in Bohr magnetons per cell: 0.0


#b
# PBE LiCd2Au3, optimized geometry
data_LiCd2Au3
_chemical_formula_sum 'Li2 Cd4 Au6'
_cell_length_a 4.5786
_cell_length_b 6.9257
_cell_length_c 7.2228
_cell_angle_alpha 90.00
_cell_angle_beta 107.25
_cell_angle_gamma 90.00
_symmetry_space_group_name_H-M 'P 1 2/m 1'
_symmetry_Int_Tables_number 10
loop_
_symmetry_equiv_pos_as_xyz
'x,y,z'
'-x,-y,-z'
'-x,y,-z'
'x,-y,z'
loop_
_atom_site_label
_atom_site_fract_x
_atom_site_fract_y
_atom_site_fract_z
_atom_site_occupancy
Li1 0.1639 0.0000 0.3200 1
Cd1 0.1718 0.5000 0.3345 1
Cd2 0.5000 0.0000 0.0000 1
Cd3 0.5000 0.5000 0.0000 1
Au1 0.0000 0.2435 0.0000 1
Au2 0.3191 0.2213 0.6471 1
# M_tot in Bohr magnetons per cell: 0.0


Decreasing stability: #b, #a


#a
# PBE Li3Cd4Au, optimized geometry
data_Li3Cd4Au
_chemical_formula_sum 'Li3 Cd4 Au1'
_cell_length_a 3.2883
_cell_length_b 3.9859
_cell_length_c 12.4308
_cell_angle_alpha 98.87
_cell_angle_beta 97.53
_cell_angle_gamma 90.04
_symmetry_space_group_name_H-M 'P -1'
_symmetry_Int_Tables_number 2
loop_
_symmetry_equiv_pos_as_xyz
'x,y,z'
'-x,-y,-z'
loop_
_atom_site_label
_atom_site_fract_x
_atom_site_fract_y
_atom_site_fract_z
_atom_site_occupancy
Li1 0.0000 0.0000 0.0000 1
Li2 0.3453 0.8421 0.6892 1
Cd1 0.0967 0.6024 0.1919 1
Cd2 0.2162 0.7177 0.4329 1
Au1 0.5000 0.5000 0.0000 1
# M_tot in Bohr magnetons per cell: 0.0


#b
# PBE Li3Cd4Au, optimized geometry
data_Li3Cd4Au
_chemical_formula_sum 'Li6 Cd8 Au2'
_cell_length_a 25.5763
_cell_length_b 3.5183
_cell_length_c 3.6096
_cell_angle_alpha 90.00
_cell_angle_beta 97.95
_cell_angle_gamma 90.00
_symmetry_space_group_name_H-M 'C 1 2/m 1'
_symmetry_Int_Tables_number 12
loop_
_symmetry_equiv_pos_as_xyz
'x,y,z'
'-x,-y,-z'
'-x,y,-z'
'x,-y,z'
'x+1/2,y+1/2,z'
'-x+1/2,-y+1/2,-z'
'-x+1/2,y+1/2,-z'
'x+1/2,-y+1/2,z'
loop_
_atom_site_label
_atom_site_fract_x
_atom_site_fract_y
_atom_site_fract_z
_atom_site_occupancy
Li1 0.0000 0.0000 0.0000 1
Li2 0.2180 0.0000 0.7178 1
Cd1 0.0916 0.0000 0.5911 1
Cd2 0.1633 0.5000 0.1634 1
Au1 0.0000 0.5000 0.5000 1
# M_tot in Bohr magnetons per cell: 0.0


Decreasing stability: #a, #b


#a
# PBE LiCd12Au7, optimized geometry
data_LiCd12Au7
_chemical_formula_sum 'Li3 Cd36 Au21'
_cell_length_a 12.5299
_cell_length_b 12.5299
_cell_length_c 9.0636
_cell_angle_alpha 90.00
_cell_angle_beta 90.00
_cell_angle_gamma 120.00
_symmetry_space_group_name_H-M 'R -3'
_symmetry_Int_Tables_number 148
_symmetry_space_group_name_Hall '-R 3'
loop_
_atom_site_label
_atom_site_fract_x
_atom_site_fract_y
_atom_site_fract_z
_atom_site_occupancy
Li1 0.0000 0.0000 0.0000 1
Cd1 0.0500 0.2078 0.2410 1
Cd2 0.0519 0.2457 0.5866 1
Au1 0.0000 0.0000 0.5000 1
Au2 0.0614 0.2369 0.9186 1
# M_tot in Bohr magnetons per cell: 0.0


#b
# PBE LiCd12Au7, optimized geometry
data_LiCd12Au7
_chemical_formula_sum 'Li3 Cd36 Au21'
_cell_length_a 16.4910
_cell_length_b 16.4910
_cell_length_c 5.6567
_cell_angle_alpha 90.00
_cell_angle_beta 90.00
_cell_angle_gamma 120.00
_symmetry_space_group_name_H-M 'R -3'
_symmetry_Int_Tables_number 148
_symmetry_space_group_name_Hall '-R 3'
loop_
_atom_site_label
_atom_site_fract_x
_atom_site_fract_y
_atom_site_fract_z
_atom_site_occupancy
Li1 0.0000 0.0000 0.0000 1
Cd1 0.0205 0.4293 0.6770 1
Cd2 0.0512 0.8594 0.3456 1
Au1 0.0000 0.0000 0.5000 1
Au2 0.0494 0.8728 0.8453 1
# M_tot in Bohr magnetons per cell: 0.0


Decreasing stability: #a, #b


#a
# PBE Li4Cd3Au2, optimized geometry
data_Li4Cd3Au2
_chemical_formula_sum 'Li8 Cd6 Au4'
_cell_length_a 13.3811
_cell_length_b 4.7255
_cell_length_c 5.2660
_cell_angle_alpha 90.00
_cell_angle_beta 107.19
_cell_angle_gamma 90.00
_symmetry_space_group_name_H-M 'C 1 2/m 1'
_symmetry_Int_Tables_number 12
loop_
_symmetry_equiv_pos_as_xyz
'x,y,z'
'-x,-y,-z'
'-x,y,-z'
'x,-y,z'
'x+1/2,y+1/2,z'
'-x+1/2,-y+1/2,-z'
'-x+1/2,y+1/2,-z'
'x+1/2,-y+1/2,z'
loop_
_atom_site_label
_atom_site_fract_x
_atom_site_fract_y
_atom_site_fract_z
_atom_site_occupancy
Li1 0.0526 0.0000 0.2657 1
Li2 0.2311 0.5000 0.6584 1
Cd1 0.0000 0.5000 0.5000 1
Cd2 0.1262 0.5000 0.0845 1
Au1 0.1482 0.0000 0.7850 1
# M_tot in Bohr magnetons per cell: 0.0


#b
# PBE Li4Cd3Au2, optimized geometry
data_Li4Cd3Au2
_chemical_formula_sum 'Li4 Cd3 Au2'
_cell_length_a 4.3051
_cell_length_b 4.7729
_cell_length_c 8.6554
_cell_angle_alpha 80.67
_cell_angle_beta 89.61
_cell_angle_gamma 63.49
_symmetry_space_group_name_H-M 'P -1'
_symmetry_Int_Tables_number 2
loop_
_symmetry_equiv_pos_as_xyz
'x,y,z'
'-x,-y,-z'
loop_
_atom_site_label
_atom_site_fract_x
_atom_site_fract_y
_atom_site_fract_z
_atom_site_occupancy
Li1 0.0022 0.4941 0.3215 1
Li2 0.3331 0.8331 0.1054 1
Cd1 0.0000 0.5000 0.0000 1
Cd2 0.3333 0.8319 0.4320 1
Au1 0.3279 0.8446 0.7838 1
# M_tot in Bohr magnetons per cell: 0.0


Decreasing stability: #b, #a